Record 1
Li3Sn2P3O12 | GGA-PBEsol | relaxed

```
80
Lattice="8.611 0.000 0.000 0.000 8.799 0.000 -8.142 0.000 12.941" Properties=species:S:1:pos:R:3 pbc="T T T"
Li -2.564 1.981 4.357
Li -6.635 2.418 10.828
Li 0.874 5.371 4.041
Li -3.197 7.828 10.511
Li 1.390 1.987 3.258
Li -2.681 2.412 9.728
Li 3.150 6.387 3.213
Li -0.921 6.812 9.684
Li 3.666 0.971 2.430
Li -0.405 3.429 8.901
Li 7.104 6.381 2.113
Li 3.033 6.818 8.584
Sn -1.971 4.897 5.220
Sn -6.042 8.301 11.690
Sn 1.971 4.689 0.921
Sn -2.100 8.510 7.392
Sn 2.569 0.289 5.549
Sn -1.502 4.110 12.020
Sn 6.511 0.498 1.251
Sn 2.440 3.902 7.722
P -4.962 0.878 8.707
P -0.891 3.521 2.236
P -3.081 5.201 8.406
P 0.990 7.998 1.935
P -4.258 2.123 12.721
P -0.187 2.277 6.250
P 0.656 6.523 6.692
P 4.727 6.676 0.221
P -0.521 0.802 11.006
P 3.550 3.598 4.535
P 1.360 5.278 10.705
P 5.431 7.921 4.235
O -6.324 6.537 10.534
O -2.253 6.661 4.063
O -2.615 0.151 5.239
O -6.686 4.249 11.709
O -4.611 4.870 8.587
O -0.540 8.329 2.117
O -4.888 0.073 10.044
O -0.817 4.327 3.573
O -2.895 5.562 6.878
O 1.176 7.637 0.408
O -3.551 1.355 8.357
O 0.520 3.045 1.887
O -5.608 1.430 12.312
O -1.537 2.970 5.841
O -2.857 6.467 9.227
O 1.214 6.732 2.756
O 1.878 0.348 2.372
O -2.193 4.052 8.843
O -0.104 5.532 5.739
O -4.175 7.666 12.210
O 0.630 1.912 5.028
O -3.441 2.488 11.499
O -0.540 1.093 7.153
O 3.531 3.306 0.682
O -3.062 5.493 12.260
O 1.009 7.706 5.789
O 3.910 6.311 1.443
O -0.161 6.888 7.913
O 4.644 1.133 0.732
O 0.573 3.267 7.203
O 2.662 4.747 4.098
O -1.409 8.452 10.569
O -0.745 2.067 10.186
O 3.326 2.332 3.715
O 2.006 5.829 7.100
O 6.077 7.369 0.629
O -0.051 5.754 11.055
O 4.020 7.445 4.584
O -0.707 1.162 12.534
O 3.364 3.238 6.063
O 1.286 4.472 9.369
O 5.357 8.727 2.898
O 1.009 0.471 10.825
O 5.080 3.929 4.354
O 7.155 4.550 1.232
O 3.084 8.649 7.703
O 2.722 2.138 8.879
O 6.793 2.262 2.408
```

## Properties
**E_form (uncorrected)**: -2.1176 eV/atom
**Spin magnetization**: 0.00 μB/f.u.
**Offset from the most stable computed form**: 0.000 eV/atom



Record 2
Li9Sn3P8O29 | GGA-PBEsol | relaxed

```
98
Lattice="10.010 0.000 0.000 -5.005 8.669 0.000 0.000 0.000 13.892" Properties=species:S:1:pos:R:3 pbc="T T T"
Li 0.000 0.000 0.000
Li 0.000 0.000 6.946
Li -0.608 2.862 0.858
Li -2.831 6.712 7.804
Li 0.608 2.862 7.804
Li -2.223 7.765 0.858
Li 2.782 0.905 6.088
Li 2.175 1.957 13.034
Li 0.000 5.780 5.310
Li 0.000 5.780 12.256
Li 5.005 2.890 1.636
Li 5.005 2.890 8.582
Li 2.831 6.712 0.858
Li 2.223 7.765 7.804
Li 7.228 0.905 13.034
Li 4.397 5.807 6.088
Li 7.836 1.957 6.088
Li 5.613 5.807 13.034
Sn -2.189 3.791 3.473
Sn -2.817 4.878 10.419
Sn 4.377 0.000 3.473
Sn 2.189 3.791 10.419
Sn 5.633 0.000 10.419
Sn 2.817 4.878 3.473
P -0.649 2.682 11.769
P -3.007 6.766 4.823
P 0.649 2.682 4.823
P -2.358 7.890 11.769
P 2.647 0.779 9.069
P 1.999 1.903 2.123
P 0.000 5.780 1.641
P 0.000 5.780 8.587
P 5.005 2.890 5.305
P 5.005 2.890 12.251
P 3.007 6.766 11.769
P 2.358 7.890 4.823
P 7.363 0.779 2.123
P 4.356 5.987 9.069
P 8.012 1.903 9.069
P 5.654 5.987 2.123
O -1.123 1.946 10.419
O -3.882 6.723 3.473
O -1.056 1.921 7.878
O -3.869 6.794 0.932
O -0.888 2.661 4.807
O -3.144 6.570 11.753
O -1.141 4.139 11.750
O -1.991 5.612 4.804
O -0.482 4.387 2.178
O -1.447 6.059 9.124
O 1.056 1.921 0.932
O -2.813 8.623 7.878
O 2.192 0.046 12.960
O 1.136 1.875 6.014
O 2.247 0.000 10.419
O 1.123 1.946 3.473
O 0.888 2.661 11.753
O -2.257 8.108 4.807
O 0.482 4.387 9.124
O -0.965 6.893 2.178
O 2.749 0.562 2.139
O 1.861 2.099 9.085
O 0.000 5.780 0.140
O 0.000 5.780 7.086
O 1.141 4.139 4.804
O -0.850 7.588 11.750
O 4.155 1.082 9.088
O 3.014 3.057 2.142
O 1.447 6.059 2.178
O 0.965 6.893 9.124
O 4.040 1.776 4.768
O 3.558 2.611 11.714
O 1.991 5.612 11.750
O 0.850 7.588 4.804
O 5.856 1.082 2.142
O 3.865 4.530 9.088
O 5.005 2.890 6.806
O 5.005 2.890 13.752
O 3.144 6.570 4.807
O 2.257 8.108 11.753
O 5.970 1.776 11.714
O 4.524 4.282 4.768
O 7.262 0.562 9.085
O 4.117 6.008 2.139
O 7.764 0.000 3.473
O 3.882 6.723 10.419
O 3.869 6.794 7.878
O 2.813 8.623 0.932
O 7.819 0.046 6.014
O 3.949 6.748 12.960
O 6.452 2.611 4.768
O 5.487 4.282 11.714
O 6.996 3.057 9.088
O 6.146 4.530 2.142
O 8.150 2.099 2.139
O 5.893 6.008 9.085
O 8.875 1.875 12.960
O 6.061 6.748 6.014
```

## Properties
**E_form (uncorrected)**: -2.1466 eV/atom
**Spin magnetization**: 2.74 μB/f.u.